# 1
This record from the Open Quantum Materials Database describes an optimized crystal structure of NpTcGe. The functional is PBE-GGA.

a b c (Å): 4.3975 4.3975 4.3975
angles (deg): 60.00 60.00 60.00
Sites, in units of the cell vectors:
Np (0.2500, 0.2500, 0.2500)
Tc (0.7500, 0.7500, 0.7500)
Ge (0.0000, 0.0000, 0.0000)

raw total energy = -26.51 eV/cell

# 2
This record from the Open Quantum Materials Database describes an optimized crystal structure of Np2Tc3Ge4. The functional is PBE-GGA.

a b c (Å): 6.8955 8.2300 5.7754
angles (deg): 90.00 104.22 90.00
Site moments in Bohr magnetons follow the coordinates.
Sites, in units of the cell vectors:
Tc (0.8897, 0.2077, 0.1157)  -0.28
Tc (0.1103, 0.7077, 0.3843)  -0.27
Tc (0.8897, 0.2923, 0.6157)  -0.27
Tc (0.5000, 0.5000, 0.5000)  -0.15
Tc (0.5000, 0.0000, 0.0000)  -0.15
Tc (0.1103, 0.7923, 0.8843)  -0.28
Np (0.2485, 0.4498, 0.9209)  3.55
Np (0.2485, 0.0502, 0.4209)  3.57
Np (0.7515, 0.9498, 0.5791)  3.57
Np (0.7515, 0.5502, 0.0791)  3.55
Ge (0.5734, 0.2514, 0.7732)  -0.01
Ge (0.4266, 0.7514, 0.7268)  -0.01
Ge (0.4266, 0.7486, 0.2268)  -0.01
Ge (0.1335, 0.1007, 0.8805)  0.00
Ge (0.5734, 0.2486, 0.2732)  -0.01
Ge (0.8665, 0.8993, 0.1195)  0.00
Ge (0.8665, 0.6007, 0.6195)  0.00
Ge (0.1335, 0.3993, 0.3805)  0.00

raw total energy = -155.93 eV/cell

# 3
This record from the Open Quantum Materials Database describes an optimized crystal structure of NpGeTe. The functional is PBE-GGA.

a b c (Å): 4.9730 4.9730 4.9730
angles (deg): 60.00 60.00 60.00
Site moments in Bohr magnetons follow the coordinates.
Sites, in units of the cell vectors:
Te (0.7500, 0.7500, 0.7500)  -0.02
Ge (0.2500, 0.2500, 0.2500)  0.01
Np (0.0000, 0.0000, 0.0000)  3.71

energy above the most stable polymorph in this dataset = 0.0000 eV/atom

# 4
This record from the Open Quantum Materials Database describes an optimized crystal structure of NpGeTe. The functional is PBE-GGA.

a b c (Å): 4.8682 4.8682 4.8682
angles (deg): 60.00 60.00 60.00
Sites, in units of the cell vectors:
Te (0.7500, 0.7500, 0.7500)
Ge (0.0000, 0.0000, 0.0000)
Np (0.2500, 0.2500, 0.2500)

energy above the most stable polymorph in this dataset = 0.1372 eV/atom